SrCo4O8 | PBE with a Hubbard U | relaxed

Calculated total energy ... -146.40 eV/cell
Space group ... C2/m (12)

Unit cell a=5.5125 b=5.6327 c=12.6242 alpha=90.04 beta=89.99 gamma=119.28
With the nearest neighbours (Å) after each atom.
Fractional coordinates of all 26 atoms:
Co: 0.0281 0.0559 0.2500  4 O 1.87-1.88
Co: 0.9734 0.4504 0.7502  4 O 1.89-1.91
Co: 0.5130 0.0267 0.2501  6 O 1.99-2.08
Co: 0.5233 0.5511 0.2499  4 O 1.89-1.91
Co: 0.4767 0.4489 0.7501  4 O 1.89-1.91
Co: 0.9719 0.9441 0.7500  4 O 1.87-1.88
Co: 0.0266 0.5496 0.2498  4 O 1.89-1.91
Co: 0.4870 0.9733 0.7499  6 O 1.99-2.08
O: 0.3302 0.1778 0.3434  2 Co 1.87-1.99
O: 0.3364 0.6736 0.1584  3 Co 1.89-2.08
O: 0.1637 0.3280 0.6583  2 Co 1.90-1.91
O: 0.1522 0.8219 0.8432  2 Co 1.88-2.00
O: 0.3300 0.1776 0.1567  2 Co 1.87-1.99
O: 0.8363 0.6720 0.3417  2 Co 1.90-1.91
O: 0.3363 0.6737 0.3414  3 Co 1.89-2.08
O: 0.8477 0.1778 0.3434  2 Co 1.87-1.99
O: 0.1639 0.3280 0.8419  2 Co 1.91
O: 0.6636 0.3264 0.8416  3 Co 1.89-2.08
O: 0.6700 0.8224 0.8433  2 Co 1.87-1.99
O: 0.8361 0.6720 0.1581  2 Co 1.91
O: 0.6637 0.3263 0.6586  3 Co 1.89-2.08
O: 0.8478 0.1781 0.1568  2 Co 1.88-2.00
O: 0.1523 0.8222 0.6566  2 Co 1.87-1.99
O: 0.6698 0.8222 0.6566  2 Co 1.87-1.99
Sr: 0.0000 0.0000 0.5000  6 O 2.54-2.57
Sr: 0.0000 0.0000 0.0000  6 O 2.54-2.57